Record 1
VASP calculation (PBE-GGA) on a relaxed LiThCu4 crystal.

The value obtained for the total energy is -4.43 eV per atom. The calculated formation energy comes out at -0.9 eV per formula unit.

It has space group F-43m (No. 216), with a = 7.261 Å, b = 7.261 Å, c = 7.261 Å, α = 90.00°, β = 90.00° and γ = 90.00°. Symmetry generates all atoms from Li at (0.000, 0.000, 0.000), Th at (0.250, 0.250, 0.750) and Cu at (0.127, 0.127, 0.373).

=====

Record 2
VASP calculation (PBE-GGA) on a relaxed LiThTlCu crystal.

The value obtained for the total energy is -4.03 eV per atom. The calculated formation energy comes out at -0.3 eV per formula unit.

It has space group F-43m (No. 216), with a = 6.921 Å, b = 6.921 Å, c = 6.921 Å, α = 90.00°, β = 90.00° and γ = 90.00°. Symmetry generates all atoms from Li at (0.000, 0.000, 0.000), Th at (0.250, 0.250, 0.250), Tl at (0.250, 0.250, 0.750) and Cu at (0.000, 0.000, 0.500).

=====

Record 3
VASP calculation (PBE-GGA) on a relaxed LiTmThCu crystal.

The value obtained for the total energy is -4.40 eV per atom. The calculated formation energy comes out at 0.3 eV per formula unit.

It has space group F-43m (No. 216), with a = 7.145 Å, b = 7.145 Å, c = 7.145 Å, α = 90.00°, β = 90.00° and γ = 90.00°. Symmetry generates all atoms from Li at (0.000, 0.000, 0.000), Tm at (0.250, 0.250, 0.750), Th at (0.250, 0.250, 0.250) and Cu at (0.000, 0.000, 0.500).